# 1
Computed, not measured: a geometry-optimized Hf2TiGe2 structure at the PBE level of DFT.

a = 6.935 Å, b = 6.935 Å, c = 3.773 Å
α = 90.00°, β = 90.00°, γ = 90.00°
Space group P4/mbm (No. 127)
Inequivalent atoms, fractional coordinates:
Hf: 0.171 0.329 0.000 x4
Ti: 0.000 0.000 0.500 x2
Ge: 0.133 0.633 0.500 x4

Summary:
raw total energy	-8.0936	eV per atom
energy relative to the elements	-0.69	eV per atom
total moment	0.0	μB/f.u.
offset from the most stable computed form	0.0000	eV per atom


# 2
Computed, not measured: a geometry-optimized Hf2TiGe2 structure at the PBE level of DFT.

a = 4.413 Å, b = 15.166 Å, c = 5.544 Å
α = 90.00°, β = 90.00°, γ = 90.00°
Space group Cmcm (No. 63)
Inequivalent atoms, fractional coordinates:
Hf: 0.000 0.000 0.000 x4
Hf: 0.000 0.194 0.250 x4
Ti: 0.000 0.397 0.250 x4
Ge: 0.000 0.186 0.750 x4
Ge: 0.000 0.422 0.750 x4

Summary:
raw total energy	-7.9394	eV per atom
energy relative to the elements	-0.53	eV per atom
total moment	0.0	μB/f.u.
offset from the most stable computed form	0.1542	eV per atom


# 3
Computed, not measured: a geometry-optimized Hf3TiGe structure at the PBE level of DFT.

a = 4.951 Å, b = 4.951 Å, c = 4.951 Å
α = 90.00°, β = 90.00°, γ = 90.00°
Space group Pm-3m (No. 221)
Inequivalent atoms, fractional coordinates:
Hf: 0.000 0.000 0.500 x3
Ti: 0.500 0.500 0.500 x1
Ge: 0.000 0.000 0.000 x1

Summary:
raw total energy	-7.9356	eV per atom
energy relative to the elements	0.54	eV per atom
total moment	0.0	μB/f.u.
offset from the most stable computed form	0.0000	eV per atom


# 4
Computed, not measured: a geometry-optimized Hf3TiGe structure at the PBE level of DFT.

a = 4.895 Å, b = 4.895 Å, c = 4.895 Å
α = 90.00°, β = 90.00°, γ = 90.00°
Space group Pm-3m (No. 221)
Inequivalent atoms, fractional coordinates:
Hf: 0.000 0.000 0.500 x3
Ti: 0.000 0.000 0.000 x1
Ge: 0.500 0.500 0.500 x1

Summary:
raw total energy	-7.5269	eV per atom
energy relative to the elements	0.95	eV per atom
total moment	0.0	μB/f.u.
offset from the most stable computed form	0.4087	eV per atom


# 5
Computed, not measured: a geometry-optimized Hf3Ti2Ge3 structure at the PBE level of DFT.

a = 7.8394 Å, b = 7.8394 Å, c = 5.3496 Å
α = 90.00°, β = 90.00°, γ = 120.00°
Space group P6_3/mcm (No. 193)
Inequivalent atoms, fractional coordinates:
Hf: 0.0000 0.2499 0.2500 x6
Ti: 0.3333 0.6667 0.0000 x4
Ge: 0.0000 0.3965 0.7500 x6

Summary:
raw total energy	-8.1930	eV per atom
energy relative to the elements	-0.76	eV per atom
total moment	0.0	μB/f.u.


# 6
Computed, not measured: a geometry-optimized HfTiGe3 structure at the PBE level of DFT.

a = 5.047 Å, b = 5.047 Å, c = 5.047 Å
α = 90.00°, β = 90.00°, γ = 90.00°
Space group Pm-3m (No. 221)
Inequivalent atoms, fractional coordinates:
Hf: 0.000 0.000 0.000 x1
Ti: 0.500 0.500 0.500 x1
Ge: 0.000 0.000 0.500 x3

Summary:
raw total energy	-5.5686	eV per atom
energy relative to the elements	0.77	eV per atom
total moment	0.1	μB/f.u.


# 7
Computed, not measured: a geometry-optimized Hf3Ti4Ge4 structure at the PBE level of DFT.

a = 3.552 Å, b = 7.869 Å, c = 14.220 Å
α = 90.00°, β = 90.00°, γ = 90.00°
Space group Immm (No. 71)
Inequivalent atoms, fractional coordinates:
Hf: 0.000 0.000 0.000 x2
Hf: 0.000 0.500 0.116 x4
Ti: 0.000 0.298 0.328 x8
Ge: 0.000 0.000 0.235 x4
Ge: 0.000 0.205 0.500 x4

Summary:
raw total energy	-7.8134	eV per atom
energy relative to the elements	-0.55	eV per atom
total moment	0.3	μB/f.u.


# 8
Computed, not measured: a geometry-optimized HfTi5Ge2 structure at the PBE level of DFT.

a = 3.331 Å, b = 8.417 Å, c = 9.923 Å
α = 90.00°, β = 90.00°, γ = 90.00°
Space group Immm (No. 71)
Inequivalent atoms, fractional coordinates:
Hf: 0.000 0.000 0.000 x2
Ti: 0.000 0.207 0.361 x8
Ti: 0.000 0.500 0.000 x2
Ge: 0.000 0.500 0.266 x4

Summary:
raw total energy	-7.6670	eV per atom
energy relative to the elements	-0.33	eV per atom
total moment	0.0	μB/f.u.


# 9
Computed, not measured: a geometry-optimized YHfTiGe2 structure at the PBE level of DFT.

a = 5.084 Å, b = 5.084 Å, c = 5.317 Å
α = 90.00°, β = 90.00°, γ = 90.00°
Space group P4/mmm (No. 123)
Inequivalent atoms, fractional coordinates:
Y: 0.000 0.000 0.000 x1
Hf: 0.000 0.000 0.500 x1
Ti: 0.500 0.500 0.000 x1
Ge: 0.000 0.500 0.500 x2

Summary:
raw total energy	-5.8279	eV per atom
energy relative to the elements	0.88	eV per atom
total moment	0.0	μB/f.u.


# 10
Computed, not measured: a geometry-optimized HfTl3Ge structure at the PBE level of DFT.

a = 5.598 Å, b = 5.598 Å, c = 5.598 Å
α = 90.00°, β = 90.00°, γ = 90.00°
Space group Pm-3m (No. 221)
Inequivalent atoms, fractional coordinates:
Hf: 0.000 0.000 0.000 x1
Tl: 0.000 0.000 0.500 x3
Ge: 0.500 0.500 0.500 x1

Summary:
raw total energy	-3.5221	eV per atom
energy relative to the elements	0.81	eV per atom
total moment	0.0	μB/f.u.


# 11
Computed, not measured: a geometry-optimized HfTlGe2 structure at the PBE level of DFT.

a = 7.863 Å, b = 7.863 Å, c = 5.922 Å
α = 90.00°, β = 90.00°, γ = 90.00°
Space group I-42d (No. 122)
Inequivalent atoms, fractional coordinates:
Hf: 0.000 0.000 0.000 x4
Tl: 0.000 0.000 0.500 x4
Ge: 0.226 0.250 0.125 x8

Summary:
raw total energy	-5.1428	eV per atom
energy relative to the elements	0.25	eV per atom
total moment	0.0	μB/f.u.
offset from the most stable computed form	0.0000	eV per atom


# 12
Computed, not measured: a geometry-optimized HfTlGe2 structure at the PBE level of DFT.

a = 7.020 Å, b = 7.020 Å, c = 7.020 Å
α = 90.00°, β = 90.00°, γ = 90.00°
Space group Fm-3m (No. 225)
Inequivalent atoms, fractional coordinates:
Hf: 0.000 0.000 0.000 x4
Tl: 0.000 0.000 0.500 x4
Ge: 0.250 0.250 0.250 x8

Summary:
raw total energy	-5.0900	eV per atom
energy relative to the elements	0.30	eV per atom
total moment	0.0	μB/f.u.
offset from the most stable computed form	0.0528	eV per atom


# 13
Computed, not measured: a geometry-optimized Hf2TlGe structure at the PBE level of DFT.

a = 6.924 Å, b = 6.924 Å, c = 6.924 Å
α = 90.00°, β = 90.00°, γ = 90.00°
Space group Fm-3m (No. 225)
Inequivalent atoms, fractional coordinates:
Hf: 0.250 0.250 0.250 x8
Tl: 0.000 0.000 0.000 x4
Ge: 0.000 0.000 0.500 x4

Summary:
raw total energy	-6.6767	eV per atom
energy relative to the elements	0.05	eV per atom
total moment	0.0	μB/f.u.
offset from the most stable computed form	0.0307	eV per atom


# 14
Computed, not measured: a geometry-optimized HfTl2Ge2 structure at the PBE level of DFT.

a = 7.138 Å, b = 7.138 Å, c = 4.616 Å
α = 90.00°, β = 90.00°, γ = 90.00°
Space group P4/mbm (No. 127)
Inequivalent atoms, fractional coordinates:
Hf: 0.000 0.000 0.000 x2
Tl: 0.186 0.314 0.500 x4
Ge: 0.127 0.627 0.000 x4

Summary:
raw total energy	-4.6000	eV per atom
energy relative to the elements	0.18	eV per atom
total moment	0.0	μB/f.u.


# 15
Computed, not measured: a geometry-optimized Hf2Tl2Ge structure at the PBE level of DFT.

a = 7.052 Å, b = 7.052 Å, c = 4.700 Å
α = 90.00°, β = 90.00°, γ = 90.00°
Space group P4/mbm (No. 127)
Inequivalent atoms, fractional coordinates:
Hf: 0.160 0.340 0.000 x4
Tl: 0.156 0.656 0.500 x4
Ge: 0.000 0.000 0.000 x2

Summary:
raw total energy	-5.9151	eV per atom
energy relative to the elements	-0.06	eV per atom
total moment	0.0	μB/f.u.


# 16
Computed, not measured: a geometry-optimized Hf3TlGe structure at the PBE level of DFT.

a = 5.252 Å, b = 5.252 Å, c = 5.252 Å
α = 90.00°, β = 90.00°, γ = 90.00°
Space group Pm-3m (No. 221)
Inequivalent atoms, fractional coordinates:
Hf: 0.000 0.000 0.500 x3
Tl: 0.000 0.000 0.000 x1
Ge: 0.500 0.500 0.500 x1

Summary:
raw total energy	-5.9996	eV per atom
energy relative to the elements	1.37	eV per atom
total moment	0.0	μB/f.u.
offset from the most stable computed form	1.0536	eV per atom


# 17
Computed, not measured: a geometry-optimized Hf8TlGe2 structure at the PBE level of DFT.

a = 15.316 Å, b = 5.635 Å, c = 5.415 Å
α = 90.00°, β = 93.26°, γ = 90.00°
Space group C2/m (No. 12)
Inequivalent atoms, fractional coordinates:
Hf: 0.094 0.000 0.076 x4
Hf: 0.102 0.247 0.586 x8
Hf: 0.215 0.500 0.135 x4
Tl: 0.000 0.500 0.000 x2
Ge: 0.240 0.000 0.352 x4

Summary:
raw total energy	-8.4483	eV per atom
energy relative to the elements	-0.15	eV per atom
total moment	0.0	μB/f.u.


# 18
Computed, not measured: a geometry-optimized Hf3TlGe structure at the PBE level of DFT.

a = 4.967 Å, b = 4.967 Å, c = 4.967 Å
α = 90.00°, β = 90.00°, γ = 90.00°
Space group Pm-3m (No. 221)
Inequivalent atoms, fractional coordinates:
Hf: 0.000 0.000 0.500 x3
Tl: 0.500 0.500 0.500 x1
Ge: 0.000 0.000 0.000 x1

Summary:
raw total energy	-7.0531	eV per atom
energy relative to the elements	0.32	eV per atom
total moment	0.0	μB/f.u.
offset from the most stable computed form	0.0000	eV per atom


# 19
Computed, not measured: a geometry-optimized Hf2TlGe structure at the PBE level of DFT.

a = 7.626 Å, b = 7.626 Å, c = 6.096 Å
α = 90.00°, β = 90.00°, γ = 90.00°
Space group I-42d (No. 122)
Inequivalent atoms, fractional coordinates:
Hf: 0.230 0.250 0.125 x8
Tl: 0.000 0.000 0.500 x4
Ge: 0.000 0.000 0.000 x4

Summary:
raw total energy	-6.7073	eV per atom
energy relative to the elements	0.02	eV per atom
total moment	0.0	μB/f.u.
offset from the most stable computed form	0.0000	eV per atom


# 20
Computed, not measured: a geometry-optimized HfTlGe structure at the PBE level of DFT.

a = 3.779 Å, b = 3.779 Å, c = 9.346 Å
α = 90.00°, β = 90.00°, γ = 90.00°
Space group P4/nmm (No. 129, origin choice 2)
Inequivalent atoms, fractional coordinates:
Hf: 0.250 0.250 0.223 x2
Tl: 0.250 0.250 0.610 x2
Ge: 0.250 0.750 0.000 x2

Summary:
raw total energy	-5.6364	eV per atom
energy relative to the elements	0.01	eV per atom
total moment	0.0	μB/f.u.


# 21
Computed, not measured: a geometry-optimized Hf2TlVGe structure at the PBE level of DFT.

a = 4.904 Å, b = 4.904 Å, c = 4.751 Å
α = 90.00°, β = 90.00°, γ = 90.00°
Space group P4/mmm (No. 123)
Inequivalent atoms, fractional coordinates:
Hf: 0.000 0.500 0.000 x2
Tl: 0.000 0.000 0.500 x1
V: 0.500 0.500 0.000 x1
Ge: 0.500 0.500 0.500 x1

Summary:
raw total energy	-6.6815	eV per atom
energy relative to the elements	0.52	eV per atom
total moment	0.0	μB/f.u.


# 22
Computed, not measured: a geometry-optimized HfTl2VGe structure at the PBE level of DFT.

a = 5.262 Å, b = 5.262 Å, c = 4.722 Å
α = 90.00°, β = 90.00°, γ = 90.00°
Space group P4/mmm (No. 123)
Inequivalent atoms, fractional coordinates:
Hf: 0.000 0.000 0.000 x1
Tl: 0.000 0.500 0.500 x2
V: 0.500 0.500 0.000 x1
Ge: 0.500 0.500 0.500 x1

Summary:
raw total energy	-4.6336	eV per atom
energy relative to the elements	1.05	eV per atom
total moment	3.2	μB/f.u.


# 23
Computed, not measured: a geometry-optimized TmHfGe structure at the PBE level of DFT.

a = 3.843 Å, b = 5.780 Å, c = 12.236 Å
α = 90.00°, β = 90.00°, γ = 90.00°
Space group Immm (No. 71)
Inequivalent atoms, fractional coordinates:
Tm: 0.000 0.000 0.194 x4
Hf: 0.000 0.247 0.500 x4
Ge: 0.000 0.500 0.130 x4

Summary:
raw total energy	-6.8647	eV per atom
energy relative to the elements	-0.52	eV per atom
total moment	0.0	μB/f.u.


# 24
Computed, not measured: a geometry-optimized TmHfGe structure at the PBE level of DFT.

a = 4.5945 Å, b = 4.5945 Å, c = 3.7734 Å
α = 90.00°, β = 90.00°, γ = 120.00°
Space group P3m1 (No. 156)
Inequivalent atoms, fractional coordinates:
Tm: 0.0000 0.0000 0.0000 x1
Hf: 0.6667 0.3333 0.5120 x1
Ge: 0.3333 0.6667 0.3864 x1

Summary:
raw total energy	-6.5429	eV per atom
energy relative to the elements	-0.20	eV per atom
total moment	0.0	μB/f.u.


# 25
Computed, not measured: a geometry-optimized TmHfGe2 structure at the PBE level of DFT.

a = 3.8974 Å, b = 3.8974 Å, c = 19.9978 Å
α = 90.00°, β = 90.00°, γ = 120.00°
Space group R-3m (No. 166, hexagonal axes)
Inequivalent atoms, fractional coordinates:
Tm: 0.0000 0.0000 0.0000 x3
Hf: 0.0000 0.0000 0.5000 x3
Ge: 0.0000 0.0000 0.2445 x6

Summary:
raw total energy	-6.5601	eV per atom
energy relative to the elements	-0.65	eV per atom
total moment	0.0	μB/f.u.
offset from the most stable computed form	0.0569	eV per atom


# 26
Computed, not measured: a geometry-optimized TmHfGe2 structure at the PBE level of DFT.

a = 3.928 Å, b = 5.527 Å, c = 7.372 Å
α = 90.00°, β = 90.00°, γ = 90.00°
Space group Pmc2_1 (No. 26)
Inequivalent atoms, fractional coordinates:
Tm: 0.000 0.121 0.000 x2
Hf: 0.500 0.379 0.639 x2
Ge: 0.000 0.408 0.367 x2
Ge: 0.500 0.101 0.276 x2

Summary:
raw total energy	-6.6170	eV per atom
energy relative to the elements	-0.70	eV per atom
total moment	0.0	μB/f.u.
offset from the most stable computed form	0.0000	eV per atom